Below is CoPb2 after structural relaxation, with properties calculated at the PBE level.

Output
Calculated density in kg/m3: 11406
Density of states at the Fermi level in states/eV/f.u.: 2.44
DFT formation energy in eV per formula unit: 1.1

Cell: 9.318 9.318 4.527 Å, 90.00 90.00 159.48°
Positions (direct):
Pb: 0.568 0.432 0.750
Co: 0.055 0.945 0.250
Co: 0.945 0.055 0.750
Pb: 0.432 0.568 0.250
Pb: 0.692 0.308 0.250
Pb: 0.308 0.692 0.750

Below is Co3Pb after structural relaxation, with properties calculated at the PBE level.

Output
Calculated density in kg/m3: 11106
Density of states at the Fermi level in states/eV/f.u.: 6.74
DFT formation energy in eV per formula unit: 2.0

Cell: 4.861 4.861 4.861 Å, 90.00 90.00 90.00°
Positions (direct):
Co: 0.500 0.000 0.250
Pb: 0.500 0.500 0.500
Co: 0.000 0.250 0.500
Co: 0.750 0.500 0.000
Co: 0.000 0.750 0.500
Co: 0.500 0.000 0.750
Pb: 0.000 0.000 0.000
Co: 0.250 0.500 0.000

Below is CoPb2 after structural relaxation, with properties calculated at the PBE level.

Output
Calculated density in kg/m3: 11639
Density of states at the Fermi level in states/eV/f.u.: 3.02
DFT formation energy in eV per formula unit: 1.1

Cell: 3.386 8.462 9.428 Å, 90.00 90.00 90.00°
Positions (direct):
Pb: 0.750 0.004 0.183
Pb: 0.750 0.322 0.971
Pb: 0.250 0.496 0.683
Pb: 0.250 0.996 0.817
Co: 0.250 0.777 0.305
Co: 0.250 0.277 0.195
Pb: 0.750 0.504 0.317
Pb: 0.250 0.178 0.471
Co: 0.750 0.723 0.805
Co: 0.750 0.223 0.695
Pb: 0.750 0.822 0.529
Pb: 0.250 0.678 0.029

Below is CoPb2 after structural relaxation, with properties calculated at the PBE level.

Output
Calculated density in kg/m3: 10430
Density of states at the Fermi level in states/eV/f.u.: 4.42
DFT formation energy in eV per formula unit: 2.6

Cell: 5.332 5.332 3.060 Å, 90.00 90.00 120.00°
Positions (direct):
Pb: 0.333 0.667 0.500
Pb: 0.667 0.333 0.500
Co: 0.000 0.000 0.000

Below is Co7Pb after structural relaxation, with properties calculated at the PBE level.

Output
Calculated density in kg/m3: 10381
Density of states at the Fermi level in states/eV/f.u.: 12.78
DFT formation energy in eV per formula unit: 2.7

Cell: 5.195 5.195 5.195 Å, 60.00 60.00 60.00°
Positions (direct):
Co: 0.000 0.000 0.500
Co: 0.000 0.500 0.500
Co: 0.500 0.000 0.500
Co: 0.500 0.000 0.000
Co: 0.500 0.500 0.500
Pb: 0.000 0.000 0.000
Co: 0.500 0.500 0.000
Co: 0.000 0.500 0.000

Below is Co3Pb after structural relaxation, with properties calculated at the PBE level.

Output
Calculated density in kg/m3: 10887
Density of states at the Fermi level in states/eV/f.u.: 5.96
DFT formation energy in eV per formula unit: 1.9

Cell: 4.496 4.496 4.685 Å, 76.93 76.93 39.58°
Positions (direct):
Co: 0.233 0.233 0.313
Co: 0.500 0.500 0.500
Pb: 0.000 0.000 0.000
Co: 0.767 0.767 0.687

Below is Co3Pb2 after structural relaxation, with properties calculated at the PBE level.

Output
Energy relative to the lowest polymorph listed for this composition in meV per atom: 265.0
Calculated density in kg/m3: 11135
Density of states at the Fermi level in states/eV/f.u.: 6.29
DFT formation energy in eV per formula unit: 3.5

Cell: 4.370 4.370 5.330 Å, 90.00 90.00 120.00°
Positions (direct):
Pb: 0.333 0.667 0.776
Co: 0.667 0.333 0.712
Co: 0.000 0.000 0.000
Pb: 0.667 0.333 0.224
Co: 0.333 0.667 0.288

Below is CoPb2 after structural relaxation, with properties calculated at the PBE level.

Output
Calculated density in kg/m3: 11848
Density of states at the Fermi level in states/eV/f.u.: 3.28
DFT formation energy in eV per formula unit: 1.2

Cell: 7.555 7.555 4.026 Å, 90.00 90.00 120.00°
Positions (direct):
Co: 0.667 0.333 0.000
Pb: 0.741 0.741 0.000
Pb: 0.000 0.259 0.000
Pb: 0.603 0.000 0.500
Pb: 0.000 0.603 0.500
Pb: 0.397 0.397 0.500
Co: 0.333 0.667 0.000
Co: 0.000 0.000 0.500
Pb: 0.259 0.000 0.000

Below is Co3Pb after structural relaxation, with properties calculated at the PBE level.

Output
Calculated density in kg/m3: 10711
Density of states at the Fermi level in states/eV/f.u.: 5.07
DFT formation energy in eV per formula unit: 1.8

Cell: 3.028 3.028 6.495 Å, 90.00 90.00 90.00°
Positions (direct):
Co: 0.000 0.000 0.559
Co: 0.500 0.500 0.750
Pb: 0.500 0.500 0.250
Co: 0.000 0.000 0.941

Below is Co3Pb after structural relaxation, with properties calculated at the PBE level.

Output
Calculated density in kg/m3: 11144
Density of states at the Fermi level in states/eV/f.u.: 9.34
DFT formation energy in eV per formula unit: 1.6

Cell: 5.600 5.600 4.213 Å, 90.00 90.00 120.00°
Positions (direct):
Co: 0.146 0.854 0.750
Co: 0.293 0.146 0.250
Co: 0.146 0.293 0.750
Co: 0.854 0.707 0.250
Co: 0.854 0.146 0.250
Co: 0.707 0.854 0.750
Pb: 0.667 0.333 0.750
Pb: 0.333 0.667 0.250

Below is CoPb2 after structural relaxation, with properties calculated at the PBE level.

Output
Calculated density in kg/m3: 11330
Density of states at the Fermi level in states/eV/f.u.: 2.20
DFT formation energy in eV per formula unit: 1.0

Cell: 6.824 6.824 6.824 Å, 152.12 152.12 39.84°
Positions (direct):
Pb: 0.370 0.370 0.000
Co: 0.000 0.000 0.000
Pb: 0.630 0.630 0.000

Below is Co3Pb4 after structural relaxation, with properties calculated at the PBE level.

Output
Calculated density in kg/m3: 10933
Density of states at the Fermi level in states/eV/f.u.: 8.84
DFT formation energy in eV per formula unit: 3.7

Cell: 5.162 5.162 6.617 Å, 90.00 90.00 120.00°
Positions (direct):
Pb: 0.000 0.000 0.771
Co: 0.500 0.500 0.000
Co: 0.000 0.500 0.000
Co: 0.500 0.000 0.000
Pb: 0.333 0.667 0.500
Pb: 0.667 0.333 0.500
Pb: 0.000 0.000 0.229